# 1
# PBE KRe2Ag, relaxed
data_KRe2Ag
_chemical_formula_sum 'K1 Re2 Ag1'
_space_group_name_H-M_alt 'P 1'
_space_group_IT_number 1
_space_group_name_Hall 'P 1'
_cell_length_a 4.692
_cell_length_b 4.692
_cell_length_c 4.692
_cell_angle_alpha 60.00
_cell_angle_beta 60.00
_cell_angle_gamma 60.00
loop_
_atom_site_label
_atom_site_type_symbol
_atom_site_fract_x
_atom_site_fract_y
_atom_site_fract_z
_atom_site_occupancy
Re1 Re 0.250 0.250 0.250 1
Re2 Re 0.750 0.750 0.750 1
K1 K 0.000 0.000 0.000 1
Ag1 Ag 0.500 0.500 0.500 1
# **Density of states at the Fermi level**: 1.56 states/eV/atom
# **SG**: No. 225
# **Energy relative to the elements**: 2.339 eV/atom
# **E above lowest polymorph**: 6.73 eV/f.u.



# 2
# PBE KReAg2, relaxed
data_KReAg2
_chemical_formula_sum 'K1 Re1 Ag2'
_space_group_name_H-M_alt 'P 1'
_space_group_IT_number 1
_space_group_name_Hall 'P 1'
_cell_length_a 2.816
_cell_length_b 2.816
_cell_length_c 10.006
_cell_angle_alpha 90.00
_cell_angle_beta 90.00
_cell_angle_gamma 90.12
loop_
_atom_site_label
_atom_site_type_symbol
_atom_site_fract_x
_atom_site_fract_y
_atom_site_fract_z
_atom_site_occupancy
Ag1 Ag 0.000 0.000 0.961 1
Ag2 Ag 0.000 0.000 0.539 1
K1 K 0.500 0.500 0.250 1
Re1 Re 0.500 0.500 0.750 1
# **Density of states at the Fermi level**: 0.78 states/eV/atom
# **SG**: No. 65
# **Energy relative to the elements**: 0.770 eV/atom
# **E above lowest polymorph**: 0.03 eV/f.u.



# 3
# PBE KRe2Ag, relaxed
data_KRe2Ag
_chemical_formula_sum 'K1 Re2 Ag1'
_space_group_name_H-M_alt 'P 1'
_space_group_IT_number 1
_space_group_name_Hall 'P 1'
_cell_length_a 2.592
_cell_length_b 5.510
_cell_length_c 5.397
_cell_angle_alpha 90.00
_cell_angle_beta 90.00
_cell_angle_gamma 90.00
loop_
_atom_site_label
_atom_site_type_symbol
_atom_site_fract_x
_atom_site_fract_y
_atom_site_fract_z
_atom_site_occupancy
Ag1 Ag 0.500 0.500 0.250 1
K1 K 0.500 0.500 0.750 1
Re1 Re 0.000 0.000 0.983 1
Re2 Re 0.000 0.000 0.517 1
# **Density of states at the Fermi level**: 0.78 states/eV/atom
# **SG**: No. 47
# **Energy relative to the elements**: 1.346 eV/atom
# **E above lowest polymorph**: 2.76 eV/f.u.



# 4
# PBE KRe2Ag, relaxed
data_KRe2Ag
_chemical_formula_sum 'K1 Re2 Ag1'
_space_group_name_H-M_alt 'P 1'
_space_group_IT_number 1
_space_group_name_Hall 'P 1'
_cell_length_a 4.656
_cell_length_b 4.656
_cell_length_c 4.656
_cell_angle_alpha 60.00
_cell_angle_beta 60.00
_cell_angle_gamma 60.00
loop_
_atom_site_label
_atom_site_type_symbol
_atom_site_fract_x
_atom_site_fract_y
_atom_site_fract_z
_atom_site_occupancy
Ag1 Ag 0.500 0.500 0.500 1
K1 K 0.750 0.750 0.750 1
Re1 Re 0.000 0.000 0.000 1
Re2 Re 0.250 0.250 0.250 1
# **Density of states at the Fermi level**: 0.91 states/eV/atom
# **SG**: No. 216
# **Energy relative to the elements**: 1.488 eV/atom
# **E above lowest polymorph**: 3.33 eV/f.u.